Entry 1:
First-principles (GGA-PBE) data for an optimized crystal structure of FeHPd2, as listed in Alexandria via LeMat-Bulk.

a = 6.066 Å, b = 6.066 Å, c = 5.022 Å
α = 52.85°, β = 52.85°, γ = 90.00°
Each line ends with the local moment (μB).
Sites, in units of the cell vectors:
Pd (0.223, 0.625, 0.250)  0.18
Pd (0.527, 0.125, 0.250)  0.21
Fe (0.750, 0.250, 0.500)  3.17
H (0.250, 0.750, 0.500)  0.00
Fe (0.000, 0.000, 0.000)  3.18
H (0.500, 0.500, 0.000)  0.00
Pd (0.375, 0.473, 0.750)  0.22
Pd (0.875, 0.777, 0.750)  0.19

Summary:
The calculation puts the polymorph energy (0 for the lowest one) at 132 meV per atom. As for the calculated density: 9.3 Mg/m³.

=====

Entry 2:
First-principles (GGA-PBE) data for an optimized crystal structure of Fe2HPd8, as listed in Alexandria via LeMat-Bulk.

a = 4.559 Å, b = 5.489 Å, c = 6.955 Å
α = 108.99°, β = 109.13°, γ = 90.00°
Each line ends with the local moment (μB).
Sites, in units of the cell vectors:
Pd (0.382, 0.095, 0.764)  0.21
Pd (0.613, 0.894, 0.226)  0.21
Fe (0.808, 0.307, 0.615)  3.29
Pd (0.805, 0.803, 0.611)  0.26
Pd (0.001, 0.732, 0.001)  0.24
Pd (0.380, 0.594, 0.761)  0.29
H (0.516, 0.067, 0.033)  0.00
Pd (0.617, 0.400, 0.233)  0.24
Pd (0.192, 0.184, 0.384)  0.27
Pd (0.996, 0.242, 0.991)  0.22
Fe (0.190, 0.682, 0.380)  3.29

Summary:
As for the calculated density: 10.4 Mg/m³. The calculation puts the calculated total energy at -5.64 eV per atom.

=====

Entry 3:
First-principles (GGA-PBE) data for an optimized crystal structure of Fe6HPd12, as listed in Alexandria via LeMat-Bulk.

a = 6.671 Å, b = 7.190 Å, c = 7.190 Å
α = 69.11°, β = 71.98°, γ = 108.02°
Each line ends with the local moment (μB).
Sites, in units of the cell vectors:
Pd (0.261, 0.424, 0.628)  0.31
Fe (0.414, 0.477, 0.216)  3.10
Fe (0.631, 0.216, 0.307)  3.10
Pd (0.678, 0.883, 0.848)  0.31
Pd (0.163, 0.052, 0.576)  0.31
Pd (0.739, 0.576, 0.372)  0.31
Pd (0.526, 0.848, 0.269)  0.31
Pd (0.205, 0.731, 0.117)  0.31
Pd (0.889, 0.628, 0.948)  0.31
Pd (0.837, 0.948, 0.424)  0.31
H (0.000, 0.000, 0.000)  0.01
Fe (0.937, 0.307, 0.477)  3.10
Pd (0.474, 0.152, 0.731)  0.31
Fe (0.063, 0.693, 0.523)  3.10
Fe (0.586, 0.523, 0.784)  3.10
Fe (0.369, 0.784, 0.693)  3.10
Pd (0.322, 0.117, 0.152)  0.31
Pd (0.795, 0.269, 0.883)  0.31
Pd (0.111, 0.372, 0.052)  0.31

Summary:
As for the calculated density: 9.9 Mg/m³. The calculation puts the calculated total energy at -6.07 eV per atom.

=====

Entry 4:
First-principles (GGA-PBE) data for an optimized crystal structure of FeH2Pd3, as listed in Alexandria via LeMat-Bulk.

a = 2.848 Å, b = 6.276 Å, c = 7.527 Å
α = 85.58°, β = 79.09°, γ = 76.88°
Each line ends with the local moment (μB).
Sites, in units of the cell vectors:
Pd (0.812, 0.812, 0.563)  0.10
Pd (0.693, 0.685, 0.928)  0.14
Fe (0.437, 0.429, 0.697)  2.87
H (0.592, 0.350, 0.467)  -0.02
Pd (0.941, 0.930, 0.188)  0.15
H (0.119, 0.644, 0.117)  -0.01
H (0.881, 0.356, 0.883)  -0.01
Fe (0.563, 0.571, 0.303)  2.87
H (0.408, 0.650, 0.533)  -0.02
Pd (0.059, 0.070, 0.812)  0.15
Pd (0.307, 0.315, 0.072)  0.14
Pd (0.188, 0.188, 0.437)  0.10

Summary:
The calculation puts the polymorph energy (0 for the lowest one) at 27 meV per atom. As for the calculated density: 9.7 Mg/m³.

=====

Entry 5:
First-principles (GGA-PBE) data for an optimized crystal structure of FeHPd2, as listed in Alexandria via LeMat-Bulk.

a = 2.728 Å, b = 4.985 Å, c = 4.985 Å
α = 54.33°, β = 60.93°, γ = 60.93°
Each line ends with the local moment (μB).
Sites, in units of the cell vectors:
Fe (0.250, 0.203, 0.297)  2.96
H (0.750, 0.929, 0.571)  -0.02
Pd (0.311, 0.513, 0.644)  0.17
Pd (0.189, 0.856, 0.987)  0.17

Summary:
The calculation puts the polymorph energy (0 for the lowest one) at 59 meV per atom. As for the calculated density: 9.7 Mg/m³.

=====

Entry 6:
First-principles (GGA-PBE) data for an optimized crystal structure of FeH5Pd8, as listed in Alexandria via LeMat-Bulk.

a = 2.853 Å, b = 7.201 Å, c = 7.590 Å
α = 99.24°, β = 101.02°, γ = 78.36°
Each line ends with the local moment (μB).
Sites, in units of the cell vectors:
Fe (0.676, 0.509, 0.041)  3.29
H (0.880, 0.337, 0.273)  0.00
Pd (0.345, 0.500, 0.372)  0.10
H (0.218, 0.051, 0.664)  0.00
Pd (0.720, 0.178, 0.793)  0.07
Pd (0.098, 0.823, 0.192)  0.15
Pd (0.766, 0.827, 0.533)  0.02
Pd (0.022, 0.500, 0.726)  0.15
Pd (0.431, 0.831, 0.870)  0.09
H (0.598, 0.974, 0.347)  0.00
Pd (0.379, 0.186, 0.115)  0.11
H (0.388, 0.649, 0.624)  0.00
H (0.921, 0.972, 0.995)  0.00
Pd (0.059, 0.163, 0.454)  0.02

Summary:
As for the calculated density: 10.2 Mg/m³. The calculation puts the calculated total energy at -4.84 eV per atom.

=====

Entry 7:
First-principles (GGA-PBE) data for an optimized crystal structure of FeH2Pd6, as listed in Alexandria via LeMat-Bulk.

a = 2.832 Å, b = 6.470 Å, c = 6.689 Å
α = 85.28°, β = 77.78°, γ = 77.36°
Each line ends with the local moment (μB).
Sites, in units of the cell vectors:
H (0.865, 0.150, 0.120)  0.00
Pd (0.314, 0.822, 0.550)  0.27
Fe (0.000, 0.500, 0.500)  3.26
Pd (0.011, 0.153, 0.824)  0.06
Pd (0.250, 0.369, 0.131)  0.15
Pd (0.989, 0.847, 0.176)  0.06
Pd (0.750, 0.631, 0.869)  0.15
H (0.135, 0.850, 0.880)  0.00
Pd (0.686, 0.178, 0.450)  0.27

Summary:
As for the calculated density: 9.9 Mg/m³. The calculation puts the calculated total energy at -5.09 eV per atom.

=====

Entry 8:
First-principles (GGA-PBE) data for an optimized crystal structure of Fe3H5Pd12, as listed in Alexandria via LeMat-Bulk.

a = 10.953 Å, b = 10.953 Å, c = 10.953 Å
α = 109.47°, β = 109.47°, γ = 109.47°
Each line ends with the local moment (μB).
Sites, in units of the cell vectors:
Pd (0.390, 0.405, 0.090)  0.23
H (0.000, 0.000, 0.500)  0.00
Pd (0.890, 0.300, 0.485)  0.23
Pd (0.610, 0.595, 0.910)  0.23
Fe (0.625, 0.375, 0.750)  3.36
Pd (0.515, 0.315, 0.905)  0.23
Pd (0.110, 0.410, 0.095)  0.23
Pd (0.405, 0.015, 0.315)  0.23
Pd (0.515, 0.200, 0.110)  0.23
H (0.000, 0.500, 0.000)  0.00
H (0.625, 0.875, 0.250)  0.00
Pd (0.200, 0.515, 0.610)  0.23
Pd (0.410, 0.110, 0.595)  0.23
Fe (0.125, 0.250, 0.875)  3.36
Pd (0.095, 0.185, 0.485)  0.23
Pd (0.405, 0.390, 0.590)  0.23
Pd (0.610, 0.015, 0.200)  0.23
H (0.250, 0.375, 0.625)  0.00
H (0.500, 0.000, 0.000)  0.00
Pd (0.685, 0.485, 0.595)  0.23
H (0.750, 0.625, 0.375)  0.00
Pd (0.095, 0.910, 0.110)  0.23
Pd (0.905, 0.815, 0.515)  0.23
Pd (0.685, 0.200, 0.590)  0.23
Pd (0.985, 0.390, 0.300)  0.23
Pd (0.090, 0.905, 0.390)  0.23
Pd (0.110, 0.700, 0.515)  0.23
Pd (0.700, 0.590, 0.185)  0.23
Pd (0.015, 0.405, 0.815)  0.23
Pd (0.090, 0.185, 0.200)  0.23
Fe (0.625, 0.250, 0.375)  3.36
Pd (0.595, 0.610, 0.410)  0.23
Pd (0.300, 0.410, 0.815)  0.23
Fe (0.375, 0.750, 0.625)  3.36
Fe (0.250, 0.125, 0.375)  3.36
H (0.500, 0.000, 0.500)  0.00
Pd (0.905, 0.090, 0.890)  0.23
Pd (0.015, 0.610, 0.700)  0.23
Fe (0.375, 0.625, 0.250)  3.36
Fe (0.125, 0.875, 0.750)  3.36
Fe (0.750, 0.375, 0.125)  3.36
H (0.375, 0.250, 0.125)  0.00
Pd (0.595, 0.985, 0.685)  0.23
Pd (0.315, 0.515, 0.405)  0.23
H (0.625, 0.750, 0.875)  0.00
Pd (0.300, 0.890, 0.985)  0.23
Pd (0.590, 0.700, 0.685)  0.23
H (0.750, 0.125, 0.875)  0.00
H (0.875, 0.250, 0.625)  0.00
Pd (0.910, 0.815, 0.800)  0.23
Pd (0.800, 0.485, 0.390)  0.23
Pd (0.590, 0.890, 0.405)  0.23
Pd (0.890, 0.590, 0.905)  0.23
Pd (0.485, 0.685, 0.095)  0.23
Pd (0.815, 0.910, 0.300)  0.23
Pd (0.200, 0.685, 0.090)  0.23
H (0.250, 0.875, 0.125)  0.00
Pd (0.185, 0.095, 0.985)  0.23
Fe (0.875, 0.125, 0.250)  3.36
Pd (0.985, 0.595, 0.185)  0.23
H (0.375, 0.125, 0.750)  0.00
Pd (0.410, 0.300, 0.315)  0.23
Pd (0.185, 0.090, 0.700)  0.23
Pd (0.815, 0.905, 0.015)  0.23
Pd (0.315, 0.800, 0.410)  0.23
Pd (0.485, 0.800, 0.890)  0.23
Fe (0.875, 0.750, 0.125)  3.36
Pd (0.800, 0.315, 0.910)  0.23
H (0.875, 0.625, 0.750)  0.00
Fe (0.750, 0.875, 0.625)  3.36
H (0.000, 0.000, 0.000)  0.00
Fe (0.250, 0.625, 0.875)  3.36
Pd (0.910, 0.095, 0.610)  0.23
H (0.500, 0.500, 0.000)  0.00
Pd (0.390, 0.985, 0.800)  0.23
H (0.125, 0.750, 0.375)  0.00
Pd (0.700, 0.110, 0.015)  0.23
H (0.500, 0.500, 0.500)  0.00
H (0.125, 0.375, 0.250)  0.00
H (0.000, 0.500, 0.500)  0.00

Summary:
As for the calculated density: 9.5 Mg/m³. The calculation puts the calculated total energy at -5.20 eV per atom.